Record 1
3
Lattice="0.0000 3.5840 3.5840 3.5840 0.0000 3.5840 3.5840 3.5840 0.0000" Properties=species:S:1:pos:R:3 comment="PrYGa (PBE, optimized geometry)" dos_ef_per_ev_cell=4.78 dft_energy_ev_per_atom=-5.004 pbc="T T T"
Pr 0.0000 0.0000 0.0000
Y 3.5840 3.5840 3.5840
Ga 1.7920 1.7920 1.7920

---

Record 2
14
Lattice="9.3295 0.0000 0.0000 -4.6648 8.0796 0.0000 0.0000 0.0000 4.8041" Properties=species:S:1:pos:R:3 comment="PrY3Ga3 (PBE, optimized geometry)" dos_ef_per_ev_cell=11.84 dft_energy_ev_per_atom=-5.199 pbc="T T T"
Pr 0.0000 5.3864 1.2010
Pr 4.6648 2.6932 3.6031
Y -3.3612 6.1528 3.6031
Y 1.0169 2.0923 3.6031
Y 2.3204 0.1655 1.2010
Y 2.3443 7.9141 3.6031
Y 3.6479 5.9873 1.2010
Y 8.0260 1.9268 1.2010
Ga -1.5605 3.6273 3.6031
Ga -0.7431 7.6174 3.6031
Ga 2.3611 3.1651 1.2010
Ga 2.3036 4.9145 3.6031
Ga 5.4079 0.4622 1.2010
Ga 6.2253 4.4523 1.2010

---

Record 3
3
Lattice="5.0434 0.0000 0.0000 -2.5217 4.3677 0.0000 0.0000 0.0000 3.8207" Properties=species:S:1:pos:R:3 comment="PrYGa (PBE, optimized geometry)" dos_ef_per_ev_cell=1.49 dft_energy_ev_per_atom=-5.033 pbc="T T T"
Pr 0.0000 0.0000 0.0000
Y 0.0000 2.9118 2.0613
Ga 2.5217 1.4559 1.3319

---

Record 4
10
Lattice="3.6896 0.0000 0.0000 0.0000 3.6896 0.0000 0.0000 0.0000 18.5469" Properties=species:S:1:pos:R:3 comment="Pr4YGa5 (PBE, optimized geometry)" dos_ef_per_ev_cell=4.54 dft_energy_ev_per_atom=-4.630 pbc="T T T"
Pr 0.0000 0.0000 1.8860
Pr 0.0000 0.0000 5.6654
Pr 0.0000 0.0000 12.8815
Pr 0.0000 0.0000 16.6609
Y 0.0000 0.0000 9.2735
Ga 1.8448 1.8448 0.0000
Ga 1.8448 1.8448 3.7757
Ga 1.8448 1.8448 7.6004
Ga 1.8448 1.8448 10.9466
Ga 1.8448 1.8448 14.7712